Computed, not measured: Nd3Tl2Br2 after structural relaxation at the GGA-PBE level of DFT.

a b c (Å): 4.5562 6.0206 9.3730
angles (deg): 108.11 90.02 112.24
Closest atoms and distances in Å follow each position.
Fractional positions:
Br: 0.1009 0.2015 0.3611  4 Nd 3.07-3.19
Br: 0.8991 0.7985 0.6389  4 Nd 3.07-3.19
Nd: 0.0000 0.0000 0.0000  2 Br 3.19, 6 Tl 3.23-3.53
Nd: 0.2285 0.4573 0.7066  3 Br 3.07-3.17, 3 Tl 3.18-3.41
Nd: 0.7715 0.5427 0.2934  3 Br 3.07-3.17, 3 Tl 3.18-3.41
Tl: 0.3347 0.6692 0.0926  2 Tl 3.09, 5 Nd 3.18-3.41
Tl: 0.6653 0.3308 0.9074  2 Tl 3.09, 5 Nd 3.18-3.41

Output
The energy relative to the elements, uncorrected comes out at -0.77 eV/atom. The calculation puts the spin magnetization at 0.00 μB per formula unit. Its space-group type is No. 12.

=====

Computed, not measured: Nd2TlBr after structural relaxation at the GGA-PBE level of DFT.

a b c (Å): 3.6433 3.6433 8.4980
angles (deg): 90.00 90.00 90.00
Closest atoms and distances in Å follow each position.
Fractional positions:
Tl: 0.5000 0.5000 0.5000  8 Nd 3.32, 4 Tl 3.64
Br: 0.5000 0.5000 0.0000  8 Nd 3.36, 4 Br 3.64
Nd: 0.0000 0.0000 0.2544  4 Tl 3.32, 4 Br 3.36, 4 Nd 3.64
Nd: 0.0000 0.0000 0.7456  4 Tl 3.32, 4 Br 3.36, 4 Nd 3.64

Output
The energy relative to the elements, uncorrected comes out at -0.72 eV/atom. The calculation puts the spin magnetization at 0.00 μB per formula unit. Its space-group type is No. 123.